Computed, not measured: a relaxed HgTeBr crystal at the PBE level of DFT.

```
data_HgTeBr
_symmetry_space_group_name_H-M 'P 1'
_symmetry_Int_Tables_number 1
_cell_length_a 4.2479
_cell_length_b 10.3709
_cell_length_c 10.3709
_cell_angle_alpha 90.00
_cell_angle_beta 90.00
_cell_angle_gamma 90.00
loop_
_symmetry_equiv_pos_as_xyz
'x,y,z'
loop_
_atom_site_label
_atom_site_type_symbol
_atom_site_fract_x
_atom_site_fract_y
_atom_site_fract_z
Hg1 Hg 0.5000 0.6159 0.1561
Hg2 Hg 0.5000 0.3841 0.8439
Hg3 Hg 0.0000 0.1561 0.3841
Hg4 Hg 0.0000 0.8439 0.6159
Te1 Te 0.5000 0.6604 0.5705
Te2 Te 0.0000 0.4295 0.6604
Te3 Te 0.0000 0.5705 0.3396
Te4 Te 0.5000 0.3396 0.4295
Br1 Br 0.5000 0.3145 0.0842
Br2 Br 0.0000 0.9158 0.3145
Br3 Br 0.0000 0.0842 0.6855
Br4 Br 0.5000 0.6855 0.9158
```

theoretical density = 5.9 g/cm³
excess energy over the best structure of this formula in the dataset = 0.133 eV/f.u.
space group = P4_2/m, No. 84